# 1
TlIr4W | PBE | optimized geometry

a = 5.2178 Å, b = 5.2178 Å, c = 5.2178 Å
α = 60.00°, β = 60.00°, γ = 60.00°
Atoms (fractional coordinates):
Tl 0.7500 0.7500 0.7500
Ir 0.8749 0.3750 0.3750
Ir 0.3750 0.3750 0.8749
Ir 0.3750 0.3750 0.3750
Ir 0.3750 0.8749 0.3750
W 0.0000 0.0000 0.0000

**Mass density**: 19128 kg/m³
**Volume**: 100.4 Å³/f.u.
**Spin magnetization**: 0.0000 μB per atom
**Total energy**: -7.89 eV/atom

# 2
TlIr3W | PBE | optimized geometry

a = 4.8166 Å, b = 4.8166 Å, c = 4.8166 Å
α = 90.00°, β = 90.00°, γ = 90.00°
Atoms (fractional coordinates):
Ir 0.0000 0.5000 0.0000
Ir 0.5000 0.0000 0.0000
Ir 0.0000 0.0000 0.5000
Tl 0.5000 0.5000 0.5000
W 0.0000 0.0000 0.0000

**Mass density**: 14339 kg/m³
**Volume**: 111.7 Å³/f.u.
**Spin magnetization**: 0.0000 μB per atom
**Total energy**: -6.92 eV/atom

# 3
TlIrW2 | PBE | optimized geometry

a = 5.2402 Å, b = 5.2402 Å, c = 5.2402 Å
α = 136.29°, β = 136.29°, γ = 63.52°
Atoms (fractional coordinates):
Tl 0.7500 0.2500 0.5000
W 0.5000 0.5000 0.0000
W 0.0000 0.0000 0.0000
Ir 0.2500 0.7500 0.5000

**Mass density**: 18718 kg/m³
**Volume**: 67.8 Å³/f.u.
**Spin magnetization**: 0.0000 μB per atom
**Total energy**: -8.67 eV/atom

# 4
TlIrW2 | PBE | optimized geometry

a = 5.1052 Å, b = 5.1052 Å, c = 4.8339 Å
α = 78.65°, β = 78.65°, γ = 34.11°
Atoms (fractional coordinates):
Ir 0.7500 0.7500 0.7500
W 0.4891 0.4891 0.5283
W 0.0109 0.0109 0.9717
Tl 0.2500 0.2500 0.2500

**Mass density**: 18355 kg/m³
**Volume**: 69.1 Å³/f.u.
**Spin magnetization**: 0.0000 μB per atom
**Total energy**: -8.73 eV/atom

# 5
TlIrW2 | PBE | optimized geometry

a = 4.8820 Å, b = 4.8820 Å, c = 2.8796 Å
α = 90.00°, β = 90.00°, γ = 90.00°
Atoms (fractional coordinates):
W 0.0000 0.0000 0.0000
W 0.5000 0.5000 0.0000
Ir 0.5000 0.0000 0.5000
Tl 0.0000 0.5000 0.5000

**Mass density**: 18492 kg/m³
**Volume**: 68.6 Å³/f.u.
**Spin magnetization**: 0.0000 μB per atom
**Total energy**: -8.38 eV/atom

# 6
TlIrW2 | PBE | optimized geometry

a = 9.7598 Å, b = 9.7598 Å, c = 9.7598 Å
α = 17.10°, β = 17.10°, γ = 17.10°
Atoms (fractional coordinates):
Ir 0.5075 0.5075 0.5075
Tl 0.7518 0.7518 0.7518
W 0.2457 0.2457 0.2457
W 0.9950 0.9950 0.9950

**Mass density**: 18091 kg/m³
**Volume**: 70.2 Å³/f.u.
**Spin magnetization**: 0.0000 μB per atom
**Total energy**: -8.77 eV/atom

# 7
TlIrW2 | PBE | optimized geometry

a = 4.5929 Å, b = 4.5929 Å, c = 4.5929 Å
α = 60.00°, β = 60.00°, γ = 60.00°
Atoms (fractional coordinates):
W 0.2500 0.2500 0.2500
W 0.7500 0.7500 0.7500
Tl 0.5000 0.5000 0.5000
Ir 0.0000 0.0000 0.0000

**Mass density**: 18525 kg/m³
**Volume**: 68.5 Å³/f.u.
**Spin magnetization**: 0.0000 μB per atom
**Total energy**: -8.35 eV/atom

# 8
TlIrW2 | PBE | optimized geometry

a = 2.8649 Å, b = 2.8649 Å, c = 8.5117 Å
α = 90.00°, β = 90.00°, γ = 90.03°
Atoms (fractional coordinates):
W 0.5000 0.5000 0.2679
W 0.0000 0.0000 0.0194
Ir 0.0000 0.0000 0.4715
Tl 0.5000 0.5000 0.7412

**Mass density**: 18166 kg/m³
**Volume**: 69.9 Å³/f.u.
**Spin magnetization**: 0.0000 μB per atom
**Total energy**: -8.87 eV/atom

# 9
TlIrW2 | PBE | optimized geometry

a = 3.7548 Å, b = 4.1183 Å, c = 4.4039 Å
α = 90.00°, β = 90.00°, γ = 90.00°
Atoms (fractional coordinates):
Ir 0.5000 0.0000 0.5000
Tl 0.0000 0.5000 0.5000
W 0.5000 0.5000 0.0000
W 0.0000 0.0000 0.0000

**Mass density**: 18636 kg/m³
**Volume**: 68.1 Å³/f.u.
**Spin magnetization**: 0.0000 μB per atom
**Total energy**: -8.60 eV/atom

# 10
TlIrW4 | PBE | optimized geometry

a = 5.3134 Å, b = 5.3134 Å, c = 5.3134 Å
α = 60.00°, β = 60.00°, γ = 60.00°
Atoms (fractional coordinates):
Tl 0.0000 0.0000 0.0000
W 0.3740 0.8781 0.3740
W 0.8781 0.3740 0.3740
W 0.3740 0.3740 0.8781
W 0.3740 0.3740 0.3740
Ir 0.7500 0.7500 0.7500

**Mass density**: 17721 kg/m³
**Volume**: 106.1 Å³/f.u.
**Spin magnetization**: 0.0000 μB per atom
**Total energy**: -9.76 eV/atom

# 11
TlIrW2 | PBE | optimized geometry

a = 3.0117 Å, b = 4.7474 Å, c = 5.8013 Å
α = 55.46°, β = 90.00°, γ = 90.00°
Atoms (fractional coordinates):
W 0.0000 0.0000 0.0000
W 0.5000 0.5000 0.0000
Tl 0.0000 0.0000 0.5000
Ir 0.5000 0.5000 0.5000

**Mass density**: 18574 kg/m³
**Volume**: 68.3 Å³/f.u.
**Spin magnetization**: 0.0000 μB per atom
**Total energy**: -8.61 eV/atom

# 12
TlIrW2 | PBE | optimized geometry

a = 2.8309 Å, b = 3.9102 Å, c = 6.3706 Å
α = 90.00°, β = 90.00°, γ = 90.00°
Atoms (fractional coordinates):
W 0.0000 0.0000 0.0286
W 0.5000 0.5000 0.2649
Tl 0.5000 0.5000 0.7462
Ir 0.0000 0.0000 0.4603

**Mass density**: 17997 kg/m³
**Volume**: 70.5 Å³/f.u.
**Spin magnetization**: 0.0000 μB per atom
**Total energy**: -8.74 eV/atom